TbPm4Nd4 | GGA-PBE | optimized geometry

a = 5.1780 Å, b = 8.1614 Å, c = 8.1697 Å
α = 107.59°, β = 108.39°, γ = 90.05°
Last column: nearest neighbours and their distance in Å.
Fractional positions:
Tb 0.0000 0.0000 0.0000  6 Nd 3.64-3.65, 6 Pm 3.64-3.65
Pm 0.1106 0.6676 0.2211  5 Pm 3.64-3.66, 1 Tb 3.64, 6 Nd 3.65-3.67
Pm 0.4448 0.6669 0.8896  5 Nd 3.63-3.66, 5 Pm 3.64-3.66, 2 Tb 3.65
Pm 0.5552 0.3331 0.1104  5 Nd 3.63-3.66, 5 Pm 3.64-3.66, 2 Tb 3.65
Pm 0.8894 0.3324 0.7789  5 Pm 3.64-3.66, 1 Tb 3.64, 6 Nd 3.65-3.67
Nd 0.2218 0.3332 0.4434  1 Tb 3.64, 5 Nd 3.65-3.67, 6 Pm 3.65-3.67
Nd 0.3342 0.9997 0.6684  5 Pm 3.63-3.66, 2 Tb 3.65, 5 Nd 3.65-3.68
Nd 0.6658 0.0003 0.3316  5 Pm 3.63-3.66, 2 Tb 3.65, 5 Nd 3.65-3.68
Nd 0.7782 0.6668 0.5566  1 Tb 3.64, 5 Nd 3.65-3.67, 6 Pm 3.65-3.67

Fermi-level density of states ... 1.48 states/eV per atom
V ... 311 Å³ per cell
M_tot ... 0.0 μB per cell
SG ... P-1
Formation energy ... 0.013 eV/atom


Tb3PmNd | GGA-PBE | optimized geometry

a = 8.6729 Å, b = 8.6729 Å, c = 11.7046 Å
α = 90.00°, β = 90.00°, γ = 155.81°
Last column: nearest neighbours and their distance in Å.
Fractional positions:
Tb 0.1546 0.8454 0.7500  2 Pm 3.27, 2 Nd 3.35, 6 Tb 3.43-3.63
Tb 0.3437 0.6563 0.0014  6 Tb 3.43-3.66, 2 Pm 3.49, 1 Nd 3.83
Tb 0.3437 0.6563 0.4986  6 Tb 3.43-3.66, 2 Pm 3.49, 1 Nd 3.83
Tb 0.6563 0.3437 0.5014  6 Tb 3.43-3.66, 2 Pm 3.49, 1 Nd 3.83
Tb 0.6563 0.3437 0.9986  6 Tb 3.43-3.66, 2 Pm 3.49, 1 Nd 3.83
Tb 0.8454 0.1546 0.2500  2 Pm 3.27, 2 Nd 3.35, 6 Tb 3.43-3.63
Pm 0.1848 0.8152 0.2500  6 Tb 3.27-3.49, 2 Nd 3.45, 2 Pm 3.63
Pm 0.8152 0.1848 0.7500  6 Tb 3.27-3.49, 2 Nd 3.45, 2 Pm 3.63
Nd 0.4883 0.5117 0.7500  2 Tb 3.35, 2 Pm 3.45, 2 Nd 3.63
Nd 0.5117 0.4883 0.2500  2 Tb 3.35, 2 Pm 3.45, 2 Nd 3.63

Fermi-level density of states ... 1.51 states/eV per atom
V ... 361 Å³ per cell
Offset from the most stable computed form ... 0.083 eV/atom
M_tot ... 0.0 μB per cell
SG ... Cmcm
Formation energy ... 0.299 eV/atom


Tb5Pm3Nd2 | GGA-PBE | optimized geometry

a = 9.8295 Å, b = 9.8295 Å, c = 9.3443 Å
α = 108.41°, β = 108.41°, γ = 113.56°
Last column: nearest neighbours and their distance in Å.
Fractional positions:
Tb 0.0250 0.9750 0.7500  5 Pm 3.35-3.49, 2 Nd 3.48, 2 Tb 3.58
Tb 0.1356 0.3743 0.7634  3 Pm 3.46-3.69, 2 Nd 3.48-3.57, 3 Tb 3.58-3.70
Tb 0.2746 0.7254 0.2500  1 Tb 3.24, 4 Pm 3.35-3.54, 2 Nd 3.58
Tb 0.3743 0.1356 0.2634  3 Pm 3.46-3.69, 2 Nd 3.48-3.57, 3 Tb 3.58-3.70
Tb 0.4719 0.5281 0.2500  1 Tb 3.24, 4 Nd 3.33-3.50, 2 Pm 3.51
Tb 0.5281 0.4719 0.7500  1 Tb 3.24, 4 Nd 3.33-3.50, 2 Pm 3.51
Tb 0.6257 0.8644 0.7366  3 Pm 3.46-3.69, 2 Nd 3.48-3.57, 3 Tb 3.58-3.70
Tb 0.7254 0.2746 0.7500  1 Tb 3.24, 4 Pm 3.35-3.54, 2 Nd 3.58
Tb 0.8644 0.6257 0.2366  3 Pm 3.46-3.69, 2 Nd 3.48-3.57, 3 Tb 3.58-3.70
Tb 0.9750 0.0250 0.2500  5 Pm 3.35-3.49, 2 Nd 3.48, 2 Tb 3.58
Pm 0.0210 0.2704 0.0467  1 Nd 3.13, 4 Tb 3.35-3.49
Pm 0.2291 0.7709 0.7500  4 Nd 3.33-3.56, 3 Tb 3.36-3.69, 2 Pm 3.53
Pm 0.2704 0.0210 0.5467  1 Nd 3.13, 4 Tb 3.35-3.49
Pm 0.7296 0.9790 0.4533  1 Nd 3.13, 4 Tb 3.35-3.49
Pm 0.7709 0.2291 0.2500  4 Nd 3.33-3.56, 3 Tb 3.36-3.69, 2 Pm 3.53
Pm 0.9790 0.7296 0.9533  1 Nd 3.13, 4 Tb 3.35-3.49
Nd 0.2288 0.4720 0.4560  2 Pm 3.13-3.33, 4 Tb 3.33-3.50
Nd 0.4720 0.2288 0.9560  2 Pm 3.13-3.33, 4 Tb 3.33-3.50
Nd 0.5280 0.7712 0.0440  2 Pm 3.13-3.33, 4 Tb 3.33-3.50
Nd 0.7712 0.5280 0.5440  2 Pm 3.13-3.33, 4 Tb 3.33-3.50

Fermi-level density of states ... 1.72 states/eV per atom
V ... 676 Å³ per cell
Offset from the most stable computed form ... 0.000 eV/atom
M_tot ... 0.0 μB per cell
SG ... C2/c
Formation energy ... 0.182 eV/atom


TbPm2Nd | GGA-PBE | optimized geometry

a = 5.7825 Å, b = 5.7825 Å, c = 5.7825 Å
α = 60.00°, β = 60.00°, γ = 60.00°
Last column: nearest neighbours and their distance in Å.
Fractional positions:
Tb 0.0000 0.0000 0.0000  8 Pm 3.54
Pm 0.2500 0.2500 0.2500  4 Nd 3.54, 4 Tb 3.54
Pm 0.7500 0.7500 0.7500  4 Tb 3.54, 4 Nd 3.54
Nd 0.5000 0.5000 0.5000  8 Pm 3.54

Fermi-level density of states ... 2.74 states/eV per atom
V ... 137 Å³ per cell
Offset from the most stable computed form ... 0.128 eV/atom
M_tot ... 0.1 μB per cell
SG ... Fm-3m
Formation energy ... 0.142 eV/atom


TbPmNd2 | GGA-PBE | optimized geometry

a = 5.7895 Å, b = 5.7895 Å, c = 5.7895 Å
α = 60.00°, β = 60.00°, γ = 60.00°
Last column: nearest neighbours and their distance in Å.
Fractional positions:
Tb 0.0000 0.0000 0.0000  8 Nd 3.55
Pm 0.5000 0.5000 0.5000  8 Nd 3.55
Nd 0.2500 0.2500 0.2500  4 Tb 3.55, 4 Pm 3.55
Nd 0.7500 0.7500 0.7500  4 Tb 3.55, 4 Pm 3.55

Fermi-level density of states ... 2.45 states/eV per atom
V ... 137 Å³ per cell
Offset from the most stable computed form ... 0.120 eV/atom
M_tot ... 0.0 μB per cell
SG ... Fm-3m
Formation energy ... 0.132 eV/atom


Tb4Pm5Nd3 | GGA-PBE | optimized geometry

a = 8.6805 Å, b = 8.6805 Å, c = 9.3783 Å
α = 114.35°, β = 114.35°, γ = 40.59°
Last column: nearest neighbours and their distance in Å.
Fractional positions:
Tb 0.0818 0.0818 0.4417  2 Tb 3.30-3.68, 1 Nd 3.45, 3 Pm 3.49-3.59
Tb 0.2118 0.2118 0.8770  3 Nd 3.31-3.59, 3 Tb 3.66-3.68, 3 Pm 3.68-3.71
Tb 0.7882 0.7882 0.1230  3 Nd 3.31-3.59, 3 Tb 3.66-3.68, 3 Pm 3.68-3.71
Tb 0.9182 0.9182 0.5583  2 Tb 3.30-3.68, 1 Nd 3.45, 3 Pm 3.49-3.59
Pm 0.0000 0.0000 0.0000  4 Nd 3.01-3.11
Pm 0.3269 0.3269 0.6126  4 Nd 3.26-3.52, 3 Tb 3.49-3.59
Pm 0.4247 0.4247 0.3014  2 Nd 3.28-3.54, 1 Pm 3.44
Pm 0.5753 0.5753 0.6986  2 Nd 3.28-3.54, 1 Pm 3.44
Pm 0.6731 0.6731 0.3874  4 Nd 3.26-3.52, 3 Tb 3.49-3.59
Nd 0.2081 0.2081 0.2276  3 Pm 3.11-3.28, 2 Tb 3.31-3.45
Nd 0.5000 0.5000 0.0000  2 Pm 3.01
Nd 0.7919 0.7919 0.7724  3 Pm 3.11-3.28, 2 Tb 3.31-3.45

Fermi-level density of states ... 1.61 states/eV per atom
V ... 413 Å³ per cell
Offset from the most stable computed form ... 0.200 eV/atom
M_tot ... 0.0 μB per cell
SG ... C2/m
Formation energy ... 0.213 eV/atom


Tb2Pm3Nd2 | GGA-PBE | optimized geometry

a = 3.5996 Å, b = 8.6014 Å, c = 8.8035 Å
α = 62.64°, β = 89.99°, γ = 89.86°
Last column: nearest neighbours and their distance in Å.
Fractional positions:
Tb 0.0036 0.3734 0.2202  3 Tb 3.47-3.60, 6 Pm 3.55-3.67, 2 Nd 3.57-3.58
Tb 0.9964 0.6266 0.7798  3 Tb 3.47-3.60, 6 Pm 3.55-3.67, 2 Nd 3.57-3.58
Pm 0.4981 0.2259 0.9480  4 Pm 3.55-3.60, 4 Tb 3.55-3.67, 4 Nd 3.67-3.69
Pm 0.5000 0.5000 0.5000  4 Pm 3.55-3.60, 4 Tb 3.59-3.60, 4 Nd 3.66-3.67
Pm 0.5019 0.7741 0.0520  4 Pm 3.55-3.60, 4 Tb 3.55-3.67, 4 Nd 3.67-3.69
Nd 0.0001 0.0833 0.6680  2 Tb 3.57-3.58, 3 Nd 3.60-3.83, 6 Pm 3.66-3.69
Nd 0.9999 0.9167 0.3320  2 Tb 3.57-3.58, 3 Nd 3.60-3.83, 6 Pm 3.66-3.69

Fermi-level density of states ... 1.47 states/eV per atom
V ... 242 Å³ per cell
Offset from the most stable computed form ... 0.000 eV/atom
M_tot ... 0.0 μB per cell
SG ... P-1
Formation energy ... 0.083 eV/atom


Tb7Pm2Nd3 | GGA-PBE | optimized geometry

a = 5.8875 Å, b = 3.6063 Å, c = 18.9854 Å
α = 90.00°, β = 93.18°, γ = 90.00°
Last column: nearest neighbours and their distance in Å.
Fractional positions:
Tb 0.0000 0.0000 0.0000  4 Tb 3.36-3.61, 4 Nd 3.45
Tb 0.1909 0.5000 0.1736  8 Tb 3.48-3.87, 2 Pm 3.71-3.72, 1 Nd 3.85
Tb 0.2571 0.5000 0.5376  1 Pm 3.21, 2 Tb 3.27-3.28
Tb 0.3110 0.0000 0.8570  7 Tb 3.36-3.61, 2 Pm 3.37, 2 Nd 3.39
Tb 0.6890 0.0000 0.1430  7 Tb 3.36-3.61, 2 Pm 3.37, 2 Nd 3.39
Tb 0.7429 0.5000 0.4624  1 Pm 3.21, 2 Tb 3.27-3.28
Tb 0.8091 0.5000 0.8264  8 Tb 3.48-3.87, 2 Pm 3.71-3.72, 1 Nd 3.85
Pm 0.2888 0.5000 0.7070  3 Tb 3.21-3.37
Pm 0.7112 0.5000 0.2930  3 Tb 3.21-3.37
Nd 0.2227 0.0000 0.3676  2 Nd 3.61, 6 Tb 3.69-3.91, 4 Pm 3.72-3.74
Nd 0.5000 0.5000 0.0000  8 Tb 3.39-3.45, 2 Nd 3.61
Nd 0.7773 0.0000 0.6324  2 Nd 3.61, 6 Tb 3.69-3.91, 4 Pm 3.72-3.74

Fermi-level density of states ... 1.20 states/eV per atom
V ... 402 Å³ per cell
Offset from the most stable computed form ... 0.008 eV/atom
M_tot ... 0.0 μB per cell
SG ... P2/m
Formation energy ... 0.082 eV/atom